# 1
First-principles (GGA-PBE) data for an optimized crystal structure of SrSmInGa, as listed in the Alexandria database. Values from VASP.

Geometry as Quantum ESPRESSO input:
```
&SYSTEM
  ibrav = 0, nat = 4, ntyp = 4
/
ATOMIC_SPECIES
Sr 87.62 Sr.upf
Sm 150.36 Sm.upf
In 114.82 In.upf
Ga 69.72 Ga.upf
CELL_PARAMETERS angstrom
0.0000 3.8595 3.8595
3.8595 0.0000 3.8595
3.8595 3.8595 0.0000
ATOMIC_POSITIONS crystal
Sr 0.0000 0.0000 0.0000
Sm 0.5000 0.5000 0.5000
In 0.7500 0.7500 0.7500
Ga 0.2500 0.2500 0.2500
```

Computed properties:
Formation enthalpy at 0 K = -0.383 eV/atom
Crystal system = cubic
Electronic total energy = -13.70 eV per cell



# 2
First-principles (GGA-PBE) data for an optimized crystal structure of TbSmInGa, as listed in the Alexandria database. Values from VASP.

Geometry as Quantum ESPRESSO input:
```
&SYSTEM
  ibrav = 0, nat = 4, ntyp = 4
/
ATOMIC_SPECIES
Tb 158.93 Tb.upf
Sm 150.36 Sm.upf
In 114.82 In.upf
Ga 69.72 Ga.upf
CELL_PARAMETERS angstrom
3.6719 0.0000 0.0000
0.0000 3.6719 0.0000
0.0000 0.0000 7.5947
ATOMIC_POSITIONS crystal
Tb 0.0000 0.0000 0.0000
Sm 0.0000 0.0000 0.5283
In 0.5000 0.5000 0.2586
Ga 0.5000 0.5000 0.7707
```

Computed properties:
Formation enthalpy at 0 K = -0.527 eV/atom
Crystal system = tetragonal
ΔE to the lowest computed polymorph = 0.0 meV/atom
Electronic total energy = -17.22 eV per cell



# 3
First-principles (GGA-PBE) data for an optimized crystal structure of TbSmInGa, as listed in the Alexandria database. Values from VASP.

Geometry as Quantum ESPRESSO input:
```
&SYSTEM
  ibrav = 0, nat = 4, ntyp = 4
/
ATOMIC_SPECIES
Tb 158.93 Tb.upf
Sm 150.36 Sm.upf
In 114.82 In.upf
Ga 69.72 Ga.upf
CELL_PARAMETERS angstrom
0.0000 3.7176 3.7176
3.7176 0.0000 3.7176
3.7176 3.7176 0.0000
ATOMIC_POSITIONS crystal
Tb 0.0000 0.0000 0.0000
Sm 0.5000 0.5000 0.5000
In 0.7500 0.7500 0.7500
Ga 0.2500 0.2500 0.2500
```

Computed properties:
Formation enthalpy at 0 K = -0.507 eV/atom
Crystal system = cubic
ΔE to the lowest computed polymorph = 20.0 meV/atom
Electronic total energy = -17.14 eV per cell



# 4
First-principles (GGA-PBE) data for an optimized crystal structure of SmIn2GaTe4, as listed in the Alexandria database. Values from VASP.

Geometry as Quantum ESPRESSO input:
```
&SYSTEM
  ibrav = 0, nat = 8, ntyp = 4
/
ATOMIC_SPECIES
Sm 150.36 Sm.upf
In 114.82 In.upf
Ga 69.72 Ga.upf
Te 127.60 Te.upf
CELL_PARAMETERS angstrom
7.8714 0.0000 0.0000
0.0000 4.3864 0.0000
-2.6334 0.0000 7.4674
ATOMIC_POSITIONS crystal
Sm 0.0000 0.0000 0.0000
In 0.5000 0.0000 0.5000
In 0.5000 0.5000 0.0000
Ga 0.0000 0.5000 0.5000
Te 0.2417 0.5000 0.2420
Te 0.2522 0.0000 0.7616
Te 0.7478 0.0000 0.2384
Te 0.7583 0.5000 0.7580
```

Computed properties:
Crystal system = monoclinic
Electronic total energy = -30.28 eV per cell
Formation energy from raw total energies = -0.5617 eV/atom



# 5
First-principles (GGA-PBE) data for an optimized crystal structure of Sm4TlIn2Ga, as listed in the Alexandria database. Values from VASP.

Geometry as Quantum ESPRESSO input:
```
&SYSTEM
  ibrav = 0, nat = 8, ntyp = 4
/
ATOMIC_SPECIES
Sm 150.36 Sm.upf
Tl 204.38 Tl.upf
In 114.82 In.upf
Ga 69.72 Ga.upf
CELL_PARAMETERS angstrom
2.6855 1.5505 8.7613
-2.6855 1.5505 8.7613
0.0000 -3.1010 8.7613
ATOMIC_POSITIONS crystal
Sm 0.1210 0.1210 0.1210
Sm 0.3716 0.3716 0.3716
Sm 0.6284 0.6284 0.6284
Sm 0.8790 0.8790 0.8790
Tl 0.5000 0.5000 0.5000
In 0.2477 0.2477 0.2477
In 0.7523 0.7523 0.7523
Ga 0.0000 0.0000 0.0000
```

Computed properties:
Formation enthalpy at 0 K = -0.468 eV/atom
Crystal system = trigonal
Electronic total energy = -33.49 eV per cell



# 6
First-principles (GGA-PBE) data for an optimized crystal structure of SmYInGa, as listed in the Alexandria database. Values from VASP.

Geometry as Quantum ESPRESSO input:
```
&SYSTEM
  ibrav = 0, nat = 4, ntyp = 4
/
ATOMIC_SPECIES
Sm 150.36 Sm.upf
Y 88.91 Y.upf
In 114.82 In.upf
Ga 69.72 Ga.upf
CELL_PARAMETERS angstrom
3.6654 0.0000 0.0000
0.0000 3.6654 0.0000
0.0000 0.0000 7.5998
ATOMIC_POSITIONS crystal
Sm 0.0000 0.0000 0.0000
Y 0.0000 0.0000 0.4719
In 0.5000 0.5000 0.7292
Ga 0.5000 0.5000 0.2430
```

Computed properties:
Formation enthalpy at 0 K = -0.538 eV/atom
Crystal system = tetragonal
ΔE to the lowest computed polymorph = 0.0 meV/atom
Electronic total energy = -19.10 eV per cell



# 7
First-principles (GGA-PBE) data for an optimized crystal structure of Sm2Y2InGa4, as listed in the Alexandria database. Values from VASP.

Geometry as Quantum ESPRESSO input:
```
&SYSTEM
  ibrav = 0, nat = 9, ntyp = 4
/
ATOMIC_SPECIES
Sm 150.36 Sm.upf
Y 88.91 Y.upf
In 114.82 In.upf
Ga 69.72 Ga.upf
CELL_PARAMETERS angstrom
-3.5720 3.5720 4.6290
3.5720 -3.5720 4.6290
3.5720 3.5720 -4.6290
ATOMIC_POSITIONS crystal
Sm 0.1862 0.1862 0.0000
Sm 0.8138 0.8138 0.0000
Y 0.2500 0.7500 0.5000
Y 0.7500 0.2500 0.5000
In 0.5000 0.5000 0.0000
Ga 0.2409 0.2409 0.4818
Ga 0.2409 0.7591 0.0000
Ga 0.7591 0.2409 0.0000
Ga 0.7591 0.7591 0.5182
```

Computed properties:
Formation enthalpy at 0 K = -0.159 eV/atom
Crystal system = tetragonal
Electronic total energy = -38.64 eV per cell



# 8
First-principles (GGA-PBE) data for an optimized crystal structure of SmYInGa, as listed in the Alexandria database. Values from VASP.

Geometry as Quantum ESPRESSO input:
```
&SYSTEM
  ibrav = 0, nat = 4, ntyp = 4
/
ATOMIC_SPECIES
Sm 150.36 Sm.upf
Y 88.91 Y.upf
In 114.82 In.upf
Ga 69.72 Ga.upf
CELL_PARAMETERS angstrom
0.0000 3.7142 3.7142
3.7142 0.0000 3.7142
3.7142 3.7142 0.0000
ATOMIC_POSITIONS crystal
Sm 0.0000 0.0000 0.0000
Y 0.5000 0.5000 0.5000
In 0.2500 0.2500 0.2500
Ga 0.7500 0.7500 0.7500
```

Computed properties:
Formation enthalpy at 0 K = -0.518 eV/atom
Crystal system = cubic
ΔE to the lowest computed polymorph = 19.7 meV/atom
Electronic total energy = -19.02 eV per cell



# 9
First-principles (GGA-PBE) data for an optimized crystal structure of Sm2Zn4InGa3, as listed in the Alexandria database. Values from VASP.

Geometry as Quantum ESPRESSO input:
```
&SYSTEM
  ibrav = 0, nat = 10, ntyp = 4
/
ATOMIC_SPECIES
Sm 150.36 Sm.upf
Zn 65.41 Zn.upf
In 114.82 In.upf
Ga 69.72 Ga.upf
CELL_PARAMETERS angstrom
4.2594 0.0000 0.0000
0.0000 4.2594 0.0000
0.0000 0.0000 10.8485
ATOMIC_POSITIONS crystal
Sm 0.0000 0.5000 0.2407
Sm 0.5000 0.0000 0.7593
Zn 0.0000 0.0000 0.0000
Zn 0.0000 0.5000 0.6483
Zn 0.5000 0.0000 0.3517
Zn 0.5000 0.5000 0.0000
In 0.0000 0.0000 0.5000
Ga 0.0000 0.5000 0.8696
Ga 0.5000 0.0000 0.1304
Ga 0.5000 0.5000 0.5000
```

Computed properties:
Formation enthalpy at 0 K = -0.424 eV/atom
Crystal system = tetragonal
Electronic total energy = -30.60 eV per cell



# 10
First-principles (GGA-PBE) data for an optimized crystal structure of In2Ga2Sn, as listed in the Alexandria database. Values from VASP.

Geometry as Quantum ESPRESSO input:
```
&SYSTEM
  ibrav = 0, nat = 5, ntyp = 3
/
ATOMIC_SPECIES
In 114.82 In.upf
Ga 69.72 Ga.upf
Sn 118.71 Sn.upf
CELL_PARAMETERS angstrom
-2.2853 2.2853 5.9994
2.2853 -2.2853 5.9994
2.2853 2.2853 -5.9994
ATOMIC_POSITIONS crystal
In 0.2500 0.7500 0.5000
In 0.7500 0.2500 0.5000
Ga 0.1026 0.1026 0.0000
Ga 0.8974 0.8974 0.0000
Sn 0.5000 0.5000 0.0000
```

Computed properties:
Formation enthalpy at 0 K = 0.122 eV/atom
Crystal system = tetragonal
ΔE to the lowest computed polymorph = 88.1 meV/atom
Electronic total energy = -14.92 eV per cell



# 11
First-principles (GGA-PBE) data for an optimized crystal structure of In8Ga5Sn, as listed in the Alexandria database. Values from VASP.

Geometry as Quantum ESPRESSO input:
```
&SYSTEM
  ibrav = 0, nat = 14, ntyp = 3
/
ATOMIC_SPECIES
In 114.82 In.upf
Ga 69.72 Ga.upf
Sn 118.71 Sn.upf
CELL_PARAMETERS angstrom
-4.4515 4.4515 4.4386
4.4515 -4.4515 4.4386
4.4515 4.4515 -4.4386
ATOMIC_POSITIONS crystal
In 0.0082 0.6072 0.7460
In 0.1964 0.4467 0.0763
In 0.3705 0.1201 0.9237
In 0.3928 0.1388 0.4009
In 0.5533 0.6295 0.7497
In 0.7379 0.9918 0.5991
In 0.8612 0.2621 0.2540
In 0.8799 0.8036 0.2503
Ga 0.0000 0.0000 0.0000
Ga 0.1577 0.2639 0.6353
Ga 0.4776 0.8423 0.1061
Ga 0.6286 0.5224 0.3647
Ga 0.7361 0.3714 0.8939
Sn 0.2500 0.7500 0.5000
```

Computed properties:
Formation enthalpy at 0 K = 0.069 eV/atom
Crystal system = tetragonal
Electronic total energy = -40.08 eV per cell



# 12
First-principles (GGA-PBE) data for an optimized crystal structure of In4GaSn5, as listed in the Alexandria database. Values from VASP.

Geometry as Quantum ESPRESSO input:
```
&SYSTEM
  ibrav = 0, nat = 10, ntyp = 3
/
ATOMIC_SPECIES
In 114.82 In.upf
Ga 69.72 Ga.upf
Sn 118.71 Sn.upf
CELL_PARAMETERS angstrom
2.2851 -2.5681 0.0000
2.2851 2.5681 0.0000
0.0000 0.0000 22.6882
ATOMIC_POSITIONS crystal
In 0.0000 0.0000 0.1030
In 0.0000 0.0000 0.3070
In 0.0000 0.0000 0.6930
In 0.0000 0.0000 0.8970
Ga 0.0000 0.0000 0.5000
Sn 0.5000 0.5000 0.0000
Sn 0.5000 0.5000 0.2052
Sn 0.5000 0.5000 0.4113
Sn 0.5000 0.5000 0.5887
Sn 0.5000 0.5000 0.7948
```

Computed properties:
Formation enthalpy at 0 K = 0.032 eV/atom
Crystal system = orthorhombic
Electronic total energy = -33.68 eV per cell